[1]
A plane-wave DFT calculation with GGA-PBEsol was carried out for Nb2H2Ru after structural relaxation.

Properties
Calculated total energy (eV for the cell shown): -79.23

abc: 2.9656 2.9656 12.3332
angles: 90.00 90.00 90.00
Last column: nearest neighbours and their distance in Å.
Space group I4/mmm (No. 139)
One atom of each set of equivalent atoms:
Nb  0.0000  0.0000  0.1417  4 H 2.00
H  0.0000  0.5000  0.2500  4 Nb 2.00, 4 H 2.10
Ru  0.0000  0.0000  0.5000  8 Nb 2.73, 4 Ru 2.97

***

[2]
A plane-wave DFT calculation with GGA-PBEsol was carried out for NbHRu3 after structural relaxation.

Properties
Calculated total energy (eV for the cell shown): -45.45

abc: 3.8947 3.8947 3.8947
angles: 90.00 90.00 90.00
Last column: nearest neighbours and their distance in Å.
Space group Pm-3m (No. 221)
One atom of each set of equivalent atoms:
Nb  0.0000  0.0000  0.0000  12 Ru 2.75
H  0.5000  0.5000  0.5000  6 Ru 1.95
Ru  0.0000  0.5000  0.5000  2 H 1.95

***

[3]
A plane-wave DFT calculation with GGA-PBEsol was carried out for SrNbHRu2 after structural relaxation.

Properties
Calculated total energy (eV for the cell shown): -19.55

abc: 4.7413 4.7413 5.1594
angles: 90.00 90.00 90.00
Last column: nearest neighbours and their distance in Å.
Space group P4/mmm (No. 123)
One atom of each set of equivalent atoms:
Sr  0.0000  0.0000  0.0000  4 Ru 2.37, 2 Nb 2.58
Nb  0.0000  0.0000  0.5000  2 Sr 2.58
H  0.5000  0.5000  0.5000  4 Nb 3.35, 8 Ru 3.50
Ru  0.0000  0.5000  0.0000  2 Sr 2.37

***

> The lowest calculated total energy belongs to which entry?

Nb2H2Ru

***

> The highest calculated total energy belongs to which entry?

SrNbHRu2

***

> Which of these has the highest calculated total energy?

SrNbHRu2

***

> Which value of calculated total energy does entry 2 give?

-45.45 eV for the cell shown